First-principles (PBE-GGA) data for an optimized crystal structure of DyAlPO, as listed in the Open Quantum Materials Database.

Output
The energy above the lowest structure with this stoichiometry is 0.029 eV/atom. Its crystal system is orthorhombic.

Structure (CIF):
```
data_DyAlPO
_chemical_formula_sum 'Dy2 Al2 P2 O2'
_space_group_name_H-M_alt 'P 1'
_space_group_IT_number 1
_cell_length_a 3.957
_cell_length_b 6.615
_cell_length_c 5.571
_cell_angle_alpha 90.00
_cell_angle_beta 90.00
_cell_angle_gamma 90.00
loop_
_space_group_symop_operation_xyz
'x,y,z'
loop_
_atom_site_label
_atom_site_type_symbol
_atom_site_fract_x
_atom_site_fract_y
_atom_site_fract_z
_atom_site_occupancy
Dy1 Dy 0.000 0.185 0.000 1
Dy2 Dy 0.000 0.815 0.500 1
Al1 Al 0.500 0.392 0.618 1
Al2 Al 0.500 0.608 0.118 1
P1 P 0.000 0.233 0.493 1
P2 P 0.000 0.767 0.993 1
O1 O 0.500 0.365 0.955 1
O2 O 0.500 0.635 0.455 1
```